Material: YHfInGe2
Method: DFT, PBE
State: relaxed

Values from the calculation:
N(E_F) = 3.86 states/eV per cell
energy of formation = 96.39 kJ/mol of atoms
crystal system = tetragonal

Lattice parameters (Å, degrees): 5.366 5.438 5.366 90.00 90.00 90.00
Element x y z (fractional)
Y  0.000  0.000  0.000
Ge  0.500  0.000  0.000
Ge  0.000  0.000  0.500
In  0.500  0.500  0.500
Hf  0.000  0.500  0.000